{"formula": "Sr2AsP", "functional": "PBE-GGA", "state": "relaxed", "lattice": [[5.632, -2.181, 0.000], [5.632, 2.181, 0.000], [-0.792, 0.000, 4.587]], "species": ["Sr", "Sr", "As", "P"], "fractional_positions": [[0.000, 0.000, 0.000], [0.739, 0.739, 0.516], [0.283, 0.283, 0.069], [0.462, 0.462, 0.442]], "magmom_total_mub_per_atom": 0.000, "formation_energy_ev_per_atom": -0.9570, "crystal_system": "monoclinic"}

***

{"formula": "CrInCo2N", "functional": "PBE-GGA", "state": "relaxed", "lattice": [[3.913, 0.000, 0.000], [0.000, 3.913, 0.000], [0.000, 0.000, 3.828]], "species": ["Cr", "In", "Co", "Co", "N"], "fractional_positions": [[0.000, 0.000, 0.000], [0.500, 0.500, 0.000], [0.000, 0.500, 0.500], [0.500, 0.000, 0.500], [0.000, 0.000, 0.500]], "magmom_total_mub_per_atom": 0.508, "e_form_raw_ev_per_atom": -0.080, "crystal_system": "tetragonal"}